No. 1
# Ba2CdHg3, relaxed, DFT PBE
# V: 33.23 Å³/atom
# total DFT energy (no corrections): -1.401 eV per atom
# formation energy from the elements: -0.4570 eV/atom
data_Ba2CdHg3
_chemical_formula_sum 'Ba16 Cd8 Hg24'
_symmetry_space_group_name_H-M 'F m m m'
_symmetry_Int_Tables_number 69
_symmetry_space_group_name_Hall '-F 2 2'
_cell_length_a 8.365
_cell_length_b 10.449
_cell_length_c 18.249
_cell_angle_alpha 90.00
_cell_angle_beta 90.00
_cell_angle_gamma 90.00
loop_
_atom_site_label
_atom_site_type_symbol
_atom_site_fract_x
_atom_site_fract_y
_atom_site_fract_z
Ba1 Ba 0.245 0.000 0.000
Ba2 Ba 0.250 0.250 0.250
Cd1 Cd 0.000 0.000 0.334
Hg1 Hg 0.000 0.000 0.168
Hg2 Hg 0.000 0.247 0.416

=====

No. 2
# Pu3GaRh2, relaxed, DFT PBE
# V: 20.63 Å³/atom
# total DFT energy (no corrections): -10.538 eV per atom
# formation energy from the elements: -0.4173 eV/atom
data_Pu3GaRh2
_chemical_formula_sum 'Pu12 Ga4 Rh8'
_symmetry_space_group_name_H-M 'P 1 21/c 1'
_symmetry_Int_Tables_number 14
_symmetry_space_group_name_Hall '-P 2ybc'
_cell_length_a 8.015
_cell_length_b 6.588
_cell_length_c 9.384
_cell_angle_alpha 90.00
_cell_angle_beta 91.96
_cell_angle_gamma 90.00
loop_
_atom_site_label
_atom_site_type_symbol
_atom_site_fract_x
_atom_site_fract_y
_atom_site_fract_z
Pu1 Pu 0.090 0.181 0.370
Pu2 Pu 0.262 0.501 0.166
Pu3 Pu 0.289 0.017 0.088
Ga1 Ga 0.398 0.670 0.882
Rh1 Rh 0.086 0.730 0.387
Rh2 Rh 0.444 0.229 0.363